{
  "formula": "SrCoAs2",
  "functional": "SCAN",
  "state": "PBEsol geometry",
  "lattice_angstrom": [[3.343, 0.000, 0.000], [0.000, 3.343, 0.000], [0.000, 0.000, 6.918]],
  "species": ["As", "As", "Sr", "Co"],
  "frac_coords": [[0.000, 0.000, 0.049], [0.500, 0.500, 0.311], [0.500, 0.500, 0.754], [0.000, 0.000, 0.387]]
}



{
  "formula": "SrCo2As2",
  "functional": "SCAN",
  "state": "PBEsol geometry",
  "lattice_angstrom": [[3.903, 0.000, 0.000], [0.000, 3.903, 0.000], [-1.952, -1.952, 5.730]],
  "species": ["Co", "Co", "Sr", "As", "As"],
  "frac_coords": [[0.250, 0.750, 0.500], [0.750, 0.250, 0.500], [0.000, 0.000, 0.000], [0.644, 0.644, 0.288], [0.356, 0.356, 0.712]]
}



{
  "formula": "SrCoAs2",
  "functional": "SCAN",
  "state": "PBEsol geometry",
  "lattice_angstrom": [[4.098, 0.000, 0.000], [0.000, 4.355, 0.086], [0.000, -0.081, 4.355]],
  "species": ["As", "As", "Sr", "Co"],
  "frac_coords": [[0.000, 0.500, 0.000], [0.000, 0.000, 0.500], [0.500, 0.500, 0.500], [0.500, 0.000, 0.000]]
}



Final energy (computed, eV/atom): -20.042; -20.064; -19.996